Compound: CsGa2Au3
Source: the Alexandria database
Functional: GGA-PBE
Structure: relaxed

ΔE_f	-188	kJ/mol of formula units
energy above the most stable polymorph in this dataset	0	meV/atom
E_tot	-3.115	eV per atom
spin magnetization	0.000	μB per formula unit
SG	No. 62

Unit cell a=5.818 b=7.221 c=13.654 alpha=90.00 beta=90.00 gamma=90.00
Fractional positions:
Au 0.750 0.622 0.717
Au 0.750 0.290 0.208
Cs 0.750 0.907 0.930
Au 0.250 0.577 0.996
Au 0.250 0.122 0.783
Ga 0.502 0.594 0.156
Au 0.250 0.923 0.496
Au 0.250 0.790 0.292
Au 0.750 0.878 0.217
Ga 0.502 0.906 0.656
Ga 0.998 0.906 0.656
Ga 0.002 0.094 0.344
Au 0.750 0.077 0.504
Cs 0.750 0.593 0.430
Au 0.250 0.378 0.283
Cs 0.250 0.407 0.570
Ga 0.998 0.594 0.156
Au 0.750 0.423 0.004
Ga 0.498 0.406 0.844
Ga 0.498 0.094 0.344
Cs 0.250 0.093 0.070
Ga 0.002 0.406 0.844
Au 0.750 0.210 0.708
Au 0.250 0.710 0.792